# 1
First-principles (PBE) data for a relaxed KNaCu3 crystal, as listed in Alexandria.

Cell: 5.1310 5.1310 5.1310 Å, 90.00 90.00 90.00°
Atoms (fractional coordinates):
Na: 0.0000 0.0000 0.0000
K: 0.5000 0.5000 0.5000
Cu: 0.0000 0.5000 0.0000
Cu: 0.0000 0.0000 0.5000
Cu: 0.5000 0.0000 0.0000

Results
* E above lowest polymorph: 0 meV/atom
* space-group type: Pm-3m (221)
* VASP energy: -2.0756 eV per atom

# 2
First-principles (PBE) data for a relaxed Fe2HgSb crystal, as listed in Alexandria.

Cell: 5.2121 5.2121 5.2121 Å, 135.21 135.21 65.21°
Atoms (fractional coordinates):
Fe: 0.0000 0.0000 0.0000
Fe: 0.2500 0.7500 0.5000
Hg: 0.5000 0.5000 0.0000
Sb: 0.7500 0.2500 0.5000

Results
* space-group type: I-4m2 (119)
* VASP energy: -4.8579 eV per atom
* E_form (uncorrected): 480 meV/atom

# 3
First-principles (PBE) data for a relaxed EuCrNi4 crystal, as listed in Alexandria.

Cell: 4.9546 4.9546 4.9546 Å, 60.00 60.00 60.00°
Atoms (fractional coordinates):
Eu: 0.0000 0.0000 0.0000
Ni: 0.6239 0.6239 0.1282
Ni: 0.6239 0.1282 0.6239
Ni: 0.6239 0.6239 0.6239
Ni: 0.1282 0.6239 0.6239
Cr: 0.2500 0.2500 0.2500

Results
* space-group type: F-43m (216)
* VASP energy: -7.1083 eV per atom

# 4
First-principles (PBE) data for a relaxed ZrTc2Rh crystal, as listed in Alexandria.

Cell: 7.4162 7.4162 5.8343 Å, 50.54 50.54 90.00°
Atoms (fractional coordinates):
Rh: 0.0000 0.0000 0.0000
Rh: 0.7500 0.2500 0.5000
Tc: 0.6506 0.1250 0.2500
Tc: 0.0994 0.6250 0.2500
Tc: 0.3750 0.3494 0.7500
Tc: 0.8750 0.9006 0.7500
Zr: 0.5000 0.5000 0.0000
Zr: 0.2500 0.7500 0.5000

Results
* E above lowest polymorph: 525 meV/atom
* space-group type: I-42d (122)
* VASP energy: -8.7971 eV per atom